DFT (PBE) results for crystalline Ac2Mg6Zn3 at its relaxed geometry.

Results
Crystal system = hexagonal
E = -0.0769 Ha/atom
ΔE_f = -128 meV per atom

Cell lengths 4.4456, 8.5875, 8.5875 Å; angles 120.00, 90.00, 90.00 degrees
Atoms (fractional coordinates):
1 Zn 0.5000 0.3878 0.3878
2 Zn 0.5000 0.0000 0.6122
3 Zn 0.5000 0.6122 0.0000
4 Ac 0.0000 0.6667 0.3333
5 Ac 0.0000 0.3333 0.6667
6 Mg 0.5000 0.2893 0.0000
7 Mg 0.0000 0.0000 0.7974
8 Mg 0.0000 0.2026 0.2026
9 Mg 0.5000 0.7107 0.7107
10 Mg 0.0000 0.7974 0.0000
11 Mg 0.5000 0.0000 0.2893